# 1
The following is a DFT calculation (PBE) of crystalline LaYSi2Mo2C at its relaxed geometry.

Cell lengths 5.956, 5.956, 7.319 Å; angles 123.72, 123.72, 38.33 degrees
Sites, in units of the cell vectors:
C  0.003  0.003  0.011
La  0.423  0.423  0.697
Mo  0.206  0.206  0.082
Mo  0.795  0.795  0.920
Si  0.866  0.866  0.325
Si  0.133  0.133  0.669
Y  0.573  0.573  0.294

# 2
The following is a DFT calculation (PBE) of crystalline LaTmMo2C3 at its relaxed geometry.

Cell lengths 5.958, 5.958, 5.827 Å; angles 105.61, 105.61, 33.46 degrees
Sites, in units of the cell vectors:
C  0.004  0.004  0.017
C  0.270  0.270  0.233
C  0.721  0.721  0.759
La  0.392  0.392  0.671
Mo  0.848  0.848  0.118
Mo  0.153  0.153  0.884
Tm  0.614  0.614  0.318

# 3
The following is a DFT calculation (PBE) of crystalline La2MoWC3 at its relaxed geometry.

Cell lengths 6.481, 6.481, 6.001 Å; angles 115.81, 115.81, 30.92 degrees
Sites, in units of the cell vectors:
C  0.254  0.254  0.224
C  0.999  0.999  0.497
C  0.748  0.748  0.778
La  0.605  0.605  0.307
La  0.396  0.396  0.697
Mo  0.160  0.160  0.818
W  0.838  0.838  0.179

no.,total energy (eV/atom)
1,-8.137
2,-8.624
3,-8.940